A relaxed structure of CrReW2, computed with GGA-PBEsol.

Cell and atoms, written as POSCAR:
```
CrReW2
1.0
4.3352 0.0000 0.0000
2.1676 3.7544 0.0000
2.1676 1.2515 3.5397
Re W Cr
1 2 1
Direct
0.5000 0.5000 0.5000 Re
0.2500 0.2500 0.2500 W
0.7500 0.7500 0.7500 W
0.0000 0.0000 0.0000 Cr
```

Values from the calculation:
DFT total energy (eV per atom): -12.75
Calculated density (kg/m3): 17463
Volume (Å³ per cell): 57.6
Energy of formation from the pure elements (meV/atom): 46
DOS at the Fermi energy (states/eV/f.u.): 2.58